Entry 1:
A plane-wave DFT calculation with PBE was carried out for Tb2MgPd after structural relaxation.

DFT total energy (eV per cell): -17.94
Magnetization (μB per formula unit): 0.000
ΔE to the lowest computed polymorph (eV/atom): 0.0000
Calculated formation energy (meV/atom): -474
Crystal system: tetragonal

```
Tb2MgPd
1.0
3.651 0.000 0.000
0.000 3.651 0.000
0.000 0.000 7.360
Tb Mg Pd
2 1 1
Direct
0.000 0.000 0.224
0.000 0.000 0.776
0.500 0.500 0.500
0.500 0.500 0.000
```

***

Entry 2:
A plane-wave DFT calculation with PBE was carried out for TbMg4Pd15 after structural relaxation.

DFT total energy (eV per cell): -99.80
Magnetization (μB per formula unit): 0.000
Calculated formation energy (meV/atom): -545
Crystal system: tetragonal

```
TbMg4Pd15
1.0
4.014 0.000 0.000
0.000 4.014 0.000
0.000 0.000 19.929
Tb Mg Pd
1 4 15
Direct
0.000 0.000 0.000
0.000 0.000 0.206
0.000 0.000 0.402
0.000 0.000 0.598
0.000 0.000 0.794
0.000 0.500 0.107
0.000 0.500 0.304
0.000 0.500 0.500
0.000 0.500 0.696
0.000 0.500 0.893
0.500 0.000 0.107
0.500 0.000 0.304
0.500 0.000 0.500
0.500 0.000 0.696
0.500 0.000 0.893
0.500 0.500 0.000
0.500 0.500 0.206
0.500 0.500 0.402
0.500 0.500 0.598
0.500 0.500 0.794
```

***

Entry 3:
A plane-wave DFT calculation with PBE was carried out for TbMgPd4 after structural relaxation.

DFT total energy (eV per cell): -30.97
Magnetization (μB per formula unit): 0.000
Calculated formation energy (meV/atom): -663
Crystal system: monoclinic

```
TbMgPd4
1.0
4.777 -1.877 0.000
4.777 1.877 0.000
-2.131 0.000 5.880
Tb Mg Pd
1 1 4
Direct
0.000 0.000 0.000
0.000 0.000 0.500
0.332 0.332 0.185
0.339 0.339 0.653
0.661 0.661 0.347
0.668 0.668 0.815
```

***

Entry 4:
A plane-wave DFT calculation with PBE was carried out for Tb3Mg7Pd2 after structural relaxation.

DFT total energy (eV per cell): -38.87
Magnetization (μB per formula unit): 0.000
Calculated formation energy (meV/atom): -286
Crystal system: trigonal

```
Tb3Mg7Pd2
1.0
2.941 1.698 9.309
-2.941 1.698 9.309
0.000 -3.396 9.309
Tb Mg Pd
3 7 2
Direct
0.000 0.000 0.000
0.146 0.146 0.146
0.854 0.854 0.854
0.073 0.577 0.577
0.423 0.423 0.927
0.423 0.927 0.423
0.500 0.500 0.500
0.577 0.073 0.577
0.577 0.577 0.073
0.927 0.423 0.423
0.334 0.334 0.334
0.666 0.666 0.666
```